Entry 1:
BaSr2Pb | PBE | relaxed

Results
The total energy is -2.48 eV/atom. Its formation energy is -232 meV per atom.

a = 4.3207 Å, b = 5.4816 Å, c = 7.7914 Å
α = 90.00°, β = 101.68°, γ = 90.00°
Space group P2/m (No. 10)
Unique sites:
Ba (0.0000, 0.0000, 0.0000)
Sr (0.3895, 0.5000, 0.7148)
Pb (0.0000, 0.0000, 0.5000)

Entry 2:
Na3La3InTe8 | PBE | relaxed

Results
The raw formation energy is -1081 meV/atom. The total energy is -4.19 eV/atom.

a = 9.1770 Å, b = 9.1770 Å, c = 22.4837 Å
α = 90.00°, β = 90.00°, γ = 120.00°
Space group R-3m (No. 166, hexagonal axes)
Unique sites:
Na (0.0000, 0.5000, 0.0000)
La (0.0000, 0.5000, 0.5000)
In (0.0000, 0.0000, 0.5000)
Te (0.0000, 0.0000, 0.2477)
Te (0.0172, 0.5086, 0.2450)

Entry 3:
Ce3ZrS6 | PBE | relaxed

Results
The raw formation energy is -1864 meV/atom. The total energy is -6.98 eV/atom.

a = 12.0893 Å, b = 12.0893 Å, c = 11.6448 Å
α = 90.00°, β = 90.00°, γ = 120.00°
Space group R-3 (No. 148, hexagonal axes)
Unique sites:
Ce (0.0496, 0.2780, 0.1535)
Zr (0.0000, 0.0000, 0.0000)
Zr (0.0000, 0.0000, 0.5000)
S (0.0324, 0.2060, 0.8964)
S (0.0499, 0.2006, 0.3843)

Entry 4:
SrAcAlIr | PBE | relaxed

Results
The total energy is -5.10 eV/atom. Its formation energy is -501 meV per atom.

a = 7.5396 Å, b = 4.3551 Å, c = 8.5770 Å
α = 90.00°, β = 107.13°, γ = 90.00°
Space group Cm (No. 8)
Unique sites:
Sr (0.0000, 0.0000, 0.0000)
Ac (0.3276, 0.5000, 0.4851)
Al (0.0807, 0.5000, 0.7435)
Ir (0.2371, 0.0000, 0.7133)